[1]
Computed, not measured: LiBeRe2 after structural relaxation at the PBE-GGA level of DFT.

```
4
Lattice="3.6039 0.0000 0.0000 0.0000 3.6039 0.0000 0.0000 0.0000 4.0047" Properties=species:S:1:pos:R:3 pbc="T T T"
Li 0.0000 0.0000 0.0000
Be 1.8019 1.8019 0.0000
Re 0.0000 1.8019 2.0024
Re 1.8019 0.0000 2.0024
```

Properties
Magnetization = 0.00 Bohr magnetons per cell
Electronic total energy = -29.1 eV/cell
Formation energy = 0.36 eV per atom
Calculated volume = 13.00 Å³ per atom



[2]
Computed, not measured: LiBeRe2 after structural relaxation at the PBE-GGA level of DFT.

```
4
Lattice="-1.8034 1.8034 3.9853 1.8034 -1.8034 3.9853 1.8034 1.8034 -3.9853" Properties=species:S:1:pos:R:3 pbc="T T T"
Li 0.0000 0.0000 0.0000
Be 0.0000 0.0000 3.9853
Re 1.8034 0.0000 1.9927
Re 0.0000 1.8034 1.9927
```

Properties
Magnetization = 0.00 Bohr magnetons per cell
Electronic total energy = -29.1 eV/cell
Formation energy = 0.35 eV per atom
Calculated volume = 12.96 Å³ per atom